Here is a crystal of K2BaZr relaxed with PBEsol from the Alexandria database. Energies are from SCAN.

a b c (Å): 5.1540 5.1540 6.7455
angles (deg): 90.00 90.00 90.00
Element x y z (fractional)
K 0.0000 0.5000 0.0000
K 0.5000 0.0000 0.0000
Ba 0.0000 0.0000 0.5000
Zr 0.5000 0.5000 0.5000

Values from the calculation:
Volume (Å³/atom): 44.797
Space-group type: No. 123
Energy relative to the elements (eV/f.u.): 3.299

Here is a crystal of KSr2Tl2 relaxed with PBEsol from the Alexandria database. Energies are from SCAN.

a b c (Å): 9.5528 9.5528 4.0138
angles (deg): 90.00 90.00 90.00
Element x y z (fractional)
K 0.0000 0.0000 0.0000
K 0.5000 0.5000 0.0000
Sr 0.1697 0.3303 0.5000
Sr 0.3303 0.8303 0.5000
Sr 0.6697 0.1697 0.5000
Sr 0.8303 0.6697 0.5000
Tl 0.1238 0.6238 0.0000
Tl 0.3762 0.1238 0.0000
Tl 0.6238 0.8762 0.0000
Tl 0.8762 0.3762 0.0000

Values from the calculation:
Volume (Å³/atom): 36.628
Space-group type: No. 127
Energy relative to the elements (eV/f.u.): -2.017

> energy relative to the elements of number 2 (KSr2Tl2)?

-2.017 eV/f.u.